Material: RbPuCo2F8
Method: DFT, GGA+U
State: relaxed

Summary:
M_tot	1.0	μB per cell
E	-72.3	eV for the cell shown
space group	R-3, No. 148
Fermi-level density of states	0.936	states/eV/atom

abc: 6.813 6.813 6.813
angles: 55.88 55.88 55.88
Atoms (fractional coordinates):
Rb 0.000 0.000 0.000
Pu 0.500 0.500 0.500
Co 0.247 0.247 0.247
Co 0.753 0.753 0.753
F 0.082 0.491 0.770
F 0.230 0.918 0.509
F 0.360 0.360 0.360
F 0.491 0.770 0.082
F 0.509 0.230 0.918
F 0.640 0.640 0.640
F 0.770 0.082 0.491
F 0.918 0.509 0.230